(1)
An optimized crystal structure of Rb3Tl3CoBr8. Source: Alexandria, functional PBE-GGA.

## Properties
- Calculated volume: 40.694 Å³ per atom
- Energy relative to the elements, uncorrected: -1.069 eV per atom

Structure (CIF):
```
data_Rb3Tl3CoBr8
_chemical_formula_sum 'Rb3 Tl3 Co1 Br8'
_cell_length_a 9.6186
_cell_length_b 9.6171
_cell_length_c 9.4279
_cell_angle_alpha 120.66
_cell_angle_beta 90.00
_cell_angle_gamma 120.01
_space_group_name_H-M_alt 'P 1'
_space_group_IT_number 1
_space_group_name_Hall 'P 1'
loop_
_atom_site_label
_atom_site_fract_x
_atom_site_fract_y
_atom_site_fract_z
Br1 0.8017 0.6035 0.2975
Rb1 0.5000 0.5000 0.5000
Br2 0.8020 0.9957 0.2978
Tl1 0.0000 0.5000 0.0000
Tl2 0.0000 0.0000 0.0000
Br3 0.1980 0.0043 0.7022
Rb2 0.0000 0.5000 0.5000
Br4 0.1937 0.9957 0.2978
Rb3 0.5000 0.0000 0.5000
Tl3 0.5000 0.5000 0.0000
Br5 0.7523 0.5045 0.7566
Br6 0.8063 0.0043 0.7022
Br7 0.1983 0.3965 0.7025
Br8 0.2477 0.4955 0.2434
Co1 0.0000 0.0000 0.5000
```

=====

(2)
An optimized crystal structure of SrGe4Au12. Source: Alexandria, functional PBE-GGA.

## Properties
- Energy relative to the elements: 0.00 eV/atom
- Calculated volume: 22.073 Å³ per atom

Structure (CIF):
```
data_SrGe4Au12
_chemical_formula_sum 'Sr1 Ge4 Au12'
_cell_length_a 7.8701
_cell_length_b 7.8701
_cell_length_c 7.8701
_cell_angle_alpha 109.47
_cell_angle_beta 109.47
_cell_angle_gamma 109.47
_space_group_name_H-M_alt 'P 1'
_space_group_IT_number 1
_space_group_name_Hall 'P 1'
loop_
_atom_site_label
_atom_site_fract_x
_atom_site_fract_y
_atom_site_fract_z
Au1 0.1548 0.6549 0.8097
Ge1 0.0000 0.0000 0.5000
Au2 0.1903 0.8452 0.3451
Sr1 0.0000 0.0000 0.0000
Ge2 0.5000 0.0000 0.0000
Au3 0.6549 0.5001 0.8452
Au4 0.8452 0.3451 0.1903
Au5 0.8097 0.1548 0.6549
Au6 0.1548 0.3451 0.4999
Ge3 0.0000 0.5000 0.0000
Au7 0.6549 0.8097 0.1548
Au8 0.4999 0.1548 0.3451
Au9 0.3451 0.4999 0.1548
Ge4 0.5000 0.5000 0.5000
Au10 0.3451 0.1903 0.8452
Au11 0.5001 0.8452 0.6549
Au12 0.8452 0.6549 0.5001
```

=====

(3)
An optimized crystal structure of Sm14DyTh. Source: Alexandria, functional PBE-GGA.

## Properties
- Energy relative to the elements: 0.02 eV/atom
- Calculated volume: 33.584 Å³ per atom

Structure (CIF):
```
data_Sm14DyTh
_chemical_formula_sum 'Sm14 Dy1 Th1'
_cell_length_a 7.2388
_cell_length_b 7.2388
_cell_length_c 10.2545
_cell_angle_alpha 90.00
_cell_angle_beta 90.00
_cell_angle_gamma 90.01
_space_group_name_H-M_alt 'P 1'
_space_group_IT_number 1
_space_group_name_Hall 'P 1'
loop_
_atom_site_label
_atom_site_fract_x
_atom_site_fract_y
_atom_site_fract_z
Sm1 0.1229 0.8771 0.2474
Sm2 0.1231 0.3730 0.2475
Sm3 0.6270 0.8769 0.7525
Sm4 0.3750 0.1249 0.5000
Sm5 0.6270 0.8769 0.2475
Sm6 0.6271 0.3729 0.2475
Sm7 0.1231 0.3730 0.7525
Sm8 0.3752 0.1252 0.0000
Sm9 0.8748 0.6248 0.0000
Sm10 0.8750 0.1250 0.5000
Sm11 0.8751 0.6250 0.5000
Dy1 0.3748 0.6252 0.0000
Th1 0.8751 0.1249 0.0000
Sm12 0.3750 0.6250 0.5000
Sm13 0.6271 0.3729 0.7525
Sm14 0.1229 0.8771 0.7526
```